[1]
# NaZrAgTe2Se

An optimized crystal structure of NaZrAgTe2Se (GGA-PBE, OQMD via LeMat-Bulk).

## Properties
Distance to the lowest polymorph of the same formula, eV/atom: 0.019
Mass density, g/cm3: 5.62
Space group: P2_1/m (11)

The structure in POSCAR format:
```
NaZrAgTe2Se
1.0
8.082 0.000 0.000
0.000 4.076 0.000
-2.905 0.000 9.983
Te Se Na Zr Ag
4 2 2 2 2
Cartesian
-1.104 1.019 9.498
6.281 3.057 0.485
-0.443 1.019 3.707
5.620 3.057 6.276
1.462 3.057 6.441
3.715 1.019 3.542
3.671 1.019 7.847
1.506 3.057 2.136
5.485 3.057 3.259
-0.309 1.019 6.724
0.820 3.057 8.993
4.357 1.019 0.990
```


[2]
# LuGaFeCu

An optimized crystal structure of LuGaFeCu (GGA-PBE, OQMD via LeMat-Bulk).

## Properties
Distance to the lowest polymorph of the same formula, eV/atom: 0.000
Mass density, g/cm3: 9.34
Space group: F-43m (216)

The structure in POSCAR format:
```
LuGaFeCu
1.0
3.525 -1.407 -2.432
2.928 -2.937 1.766
0.137 -4.239 -1.525
Fe Lu Ga Cu
1 1 1 1
Cartesian
4.942 -6.438 -1.643
1.647 -2.146 -0.548
0.000 0.000 0.000
3.295 -4.292 -1.096
```


[3]
# TaTeH

An optimized crystal structure of TaTeH (GGA-PBE, OQMD via LeMat-Bulk).

## Properties
Mass density, g/cm3: 8.96
Space group: P2_1/m (11)
Uncorrected energy, eV/cell: -38.16

The structure in POSCAR format:
```
TaTeH
1.0
4.569 0.000 0.000
0.000 3.606 0.000
-0.417 0.000 6.968
H Te Ta
2 2 2
Cartesian
3.558 0.901 6.095
0.594 2.704 0.873
0.973 2.704 4.934
3.179 0.901 2.033
3.053 2.704 6.836
1.100 0.901 0.132
```